(1)
# K2Hg2SCl4O3

An optimized crystal structure of K2Hg2SCl4O3 (PBEsol, the Alexandria database).

abc: 5.9243 9.5436 10.2585
angles: 110.51 90.00 90.00
Positions (direct):
K 0.2500 0.5988 0.1777
K 0.2500 0.1279 0.9354
K 0.7500 0.4012 0.8223
K 0.7500 0.8721 0.0646
Hg 0.7500 0.4046 0.3666
Hg 0.2500 0.1144 0.4724
Hg 0.7500 0.8856 0.5276
Hg 0.2500 0.5954 0.6334
S 0.2500 0.6931 0.8836
S 0.7500 0.3069 0.1164
Cl 0.2500 0.4195 0.3931
Cl 0.2500 0.8398 0.5359
Cl 0.7500 0.0249 0.7667
Cl 0.7500 0.1602 0.4641
Cl 0.2500 0.9751 0.2333
Cl 0.7500 0.5805 0.6069
Cl 0.7500 0.7176 0.2941
Cl 0.2500 0.2824 0.7059
O 0.7500 0.1428 0.0745
O 0.5439 0.3616 0.0671
O 0.2500 0.8572 0.9255
O 0.4561 0.6384 0.9329
O 0.0439 0.6384 0.9329
O 0.9561 0.3616 0.0671

=====

(2)
# K2HgRhCl

An optimized crystal structure of K2HgRhCl (PBEsol, the Alexandria database).

abc: 5.4615 6.3243 6.3243
angles: 90.00 90.00 90.00
Positions (direct):
K 0.0000 0.0000 0.5000
K 0.0000 0.5000 0.0000
Rh 0.5000 0.5000 0.5000
Hg 0.0000 0.0000 0.0000
Cl 0.5000 0.0000 0.0000

=====

(3)
# KHgSe2Cl

An optimized crystal structure of KHgSe2Cl (PBEsol, the Alexandria database).

abc: 5.5610 6.0917 6.0917
angles: 90.00 90.00 90.00
Positions (direct):
K 0.0000 0.0000 0.0000
Hg 0.5000 0.5000 0.5000
Se 0.0000 0.0000 0.5000
Se 0.0000 0.5000 0.0000
Cl 0.5000 0.0000 0.0000

=====

(4)
# K2TlHgCl6

An optimized crystal structure of K2TlHgCl6 (PBEsol, the Alexandria database).

abc: 7.5115 7.5115 7.5115
angles: 60.00 60.00 60.00
Positions (direct):
K 0.7500 0.7500 0.7500
K 0.2500 0.2500 0.2500
Tl 0.0000 0.0000 0.0000
Hg 0.5000 0.5000 0.5000
Cl 0.7461 0.2539 0.2539
Cl 0.7461 0.7461 0.2539
Cl 0.2539 0.7461 0.7461
Cl 0.7461 0.2539 0.7461
Cl 0.2539 0.7461 0.2539
Cl 0.2539 0.2539 0.7461

=====

(5)
# La2HgCl

An optimized crystal structure of La2HgCl (PBEsol, the Alexandria database).

abc: 3.7852 3.8471 8.1683
angles: 103.62 103.40 90.00
Positions (direct):
Cl 0.4550 0.4550 0.9100
Hg 0.2002 0.7002 0.4004
La 0.0373 0.0373 0.0746
La 0.8075 0.3075 0.6149

=====

(6)
# La2HgCl

An optimized crystal structure of La2HgCl (PBEsol, the Alexandria database).

abc: 3.6906 3.8513 8.0954
angles: 90.00 90.07 90.00
Positions (direct):
La 0.5007 0.0000 0.7371
La 0.4993 0.0000 0.2629
Hg 0.0000 0.5000 0.5000
Cl 0.5000 0.5000 0.0000

=====

(7)
# La2HgCl

An optimized crystal structure of La2HgCl (PBEsol, the Alexandria database).

abc: 4.2961 4.2961 6.1770
angles: 90.00 90.00 90.00
Positions (direct):
La 0.0000 0.0000 0.8749
La 0.5000 0.5000 0.3751
Hg 0.5000 0.5000 0.8751
Cl 0.0000 0.0000 0.3750

=====

(8)
# LaHgCl4

An optimized crystal structure of LaHgCl4 (PBEsol, the Alexandria database).

abc: 5.7830 5.7830 5.7830
angles: 60.00 60.00 60.00
Positions (direct):
Cl 0.3746 0.3746 0.3746
Cl 0.3746 0.3746 0.8761
Cl 0.8761 0.3746 0.3746
Cl 0.3746 0.8761 0.3746
Hg 0.7500 0.7500 0.7500
La 0.0000 0.0000 0.0000

=====

(9)
# La2HgCl

An optimized crystal structure of La2HgCl (PBEsol, the Alexandria database).

abc: 3.3223 5.5887 5.5887
angles: 90.00 90.00 90.00
Positions (direct):
Cl 0.5000 0.5000 0.5000
Hg 0.5000 0.0000 0.0000
La 0.0000 0.0000 0.5000
La 0.0000 0.5000 0.0000

=====

(10)
# La2HgCl

An optimized crystal structure of La2HgCl (PBEsol, the Alexandria database).

abc: 4.3082 4.3082 7.4148
angles: 73.11 73.11 60.00
Positions (direct):
La 0.7410 0.7410 0.7769
La 0.2590 0.2590 0.2231
Hg 0.5000 0.5000 0.5000
Cl 0.0000 0.0000 0.0000

=====

(11)
# LaHgCl2

An optimized crystal structure of LaHgCl2 (PBEsol, the Alexandria database).

abc: 4.2525 4.2525 5.9604
angles: 110.90 110.90 90.00
Positions (direct):
Cl 0.0000 0.0000 0.0000
Cl 0.7500 0.2500 0.5000
Hg 0.5000 0.5000 0.0000
La 0.2500 0.7500 0.5000

=====

(12)
# La2HgCl

An optimized crystal structure of La2HgCl (PBEsol, the Alexandria database).

abc: 4.7071 5.4215 5.4215
angles: 65.52 64.27 64.27
Positions (direct):
Cl 0.5000 0.0000 0.0000
Hg 0.0000 0.5000 0.5000
La 0.2307 0.7693 0.7693
La 0.7693 0.2307 0.2307

=====

(13)
# Li2HgCl

An optimized crystal structure of Li2HgCl (PBEsol, the Alexandria database).

abc: 3.4415 4.6468 4.6468
angles: 90.00 90.00 90.00
Positions (direct):
Cl 0.5000 0.5000 0.5000
Hg 0.5000 0.0000 0.0000
Li 0.0000 0.0000 0.5000
Li 0.0000 0.5000 0.0000

=====

(14)
# LiHgSCl2

An optimized crystal structure of LiHgSCl2 (PBEsol, the Alexandria database).

abc: 4.8807 5.2751 5.2751
angles: 90.00 90.00 90.00
Positions (direct):
S 0.5000 0.0000 0.0000
Li 0.5000 0.5000 0.5000
Hg 0.0000 0.0000 0.0000
Cl 0.0000 0.0000 0.5000
Cl 0.0000 0.5000 0.0000

=====

(15)
# LiHgS2Cl

An optimized crystal structure of LiHgS2Cl (PBEsol, the Alexandria database).

abc: 4.8884 4.8884 5.4662
angles: 90.00 90.00 90.00
Positions (direct):
S 0.0000 0.5000 0.0000
S 0.5000 0.0000 0.0000
Li 0.5000 0.5000 0.5000
Hg 0.0000 0.0000 0.0000
Cl 0.0000 0.0000 0.5000

=====

(16)
# LiHgSCl2

An optimized crystal structure of LiHgSCl2 (PBEsol, the Alexandria database).

abc: 4.9226 4.9226 4.7836
angles: 90.00 90.00 90.00
Positions (direct):
S 0.0000 0.0000 0.0000
Li 0.0000 0.0000 0.5000
Hg 0.5000 0.5000 0.5000
Cl 0.0000 0.5000 0.0000
Cl 0.5000 0.0000 0.0000

=====

(17)
# Mg2HgCl

An optimized crystal structure of Mg2HgCl (PBEsol, the Alexandria database).

abc: 5.0386 5.0386 5.0386
angles: 60.00 60.00 60.00
Positions (direct):
Cl 0.0000 0.0000 0.0000
Hg 0.5000 0.5000 0.5000
Mg 0.7500 0.7500 0.7500
Mg 0.2500 0.2500 0.2500

=====

(18)
# MgHgCl2

An optimized crystal structure of MgHgCl2 (PBEsol, the Alexandria database).

abc: 3.5510 5.4859 5.8482
angles: 115.13 90.00 90.00
Positions (direct):
Cl 0.0000 0.1056 0.9419
Cl 0.5000 0.7566 0.3307
Hg 0.0000 0.4726 0.5312
Mg 0.5000 0.1652 0.6961

=====

(19)
# Mg2HgCl

An optimized crystal structure of Mg2HgCl (PBEsol, the Alexandria database).

abc: 3.2938 3.2938 7.6464
angles: 90.00 90.00 90.00
Positions (direct):
Cl 0.5000 0.5000 0.0000
Hg 0.5000 0.5000 0.5000
Mg 0.0000 0.0000 0.7335
Mg 0.0000 0.0000 0.2665

=====

(20)
# Mg2HgCl

An optimized crystal structure of Mg2HgCl (PBEsol, the Alexandria database).

abc: 3.3518 4.5316 6.0115
angles: 90.00 90.00 90.00
Positions (direct):
Cl 0.5000 0.5000 0.0000
Hg 0.0000 0.5000 0.5000
Mg 0.0000 0.0000 0.0000
Mg 0.5000 0.0000 0.5000

=====

Q: Which formation energy from raw total energies values were calculated for the entries above? A: -1.25 0.64 0.50 -1.15 -0.93 -1.00 -1.04 -0.74 -0.94 -1.04 -1.32 -0.87 -0.76 -0.31 0.05 -0.34 -0.31 -1.10 -0.56 -0.40, in eV per atom.
Q: Which calculated volume values were calculated for the entries above? A: 543.2 218.4 206.4 299.7 112.3 115.1 114.0 136.8 103.8 112.3 93.1 107.8 74.3 135.8 130.6 115.9 90.5 103.1 83.0 91.3, in Å³/cell.
Q: Which magnetic moment values were calculated for the entries above? A: 0.00 1.90 4.01 0.00 0.00 0.00 0.00 1.04 0.00 0.00 0.00 0.00 0.00 0.57 0.00 0.00 0.00 0.00 0.00 0.00, in μB/f.u..